Material: MoCNF2
Method: DFT, GGA+U
State: optimized geometry

Unit cell a=4.6506 b=4.6506 c=2.5471 alpha=90.00 beta=90.00 gamma=90.00
With the nearest neighbours (Å) after each atom.
Fractional positions:
Mo  0.5000  0.5000  0.5000  2 Mo 2.55, 8 F 2.65
N  0.0000  0.0000  0.5000  2 C 1.27
C  0.0000  0.0000  0.0000  2 N 1.27
F  0.0000  0.5000  0.0000  2 C 2.33, 2 F 2.55
F  0.5000  0.0000  0.0000  2 C 2.33, 2 F 2.55

Values from the calculation:
Symmetry   P4/mmm, No. 123
Offset from the most stable computed form   0 meV per atom
Total DFT energy (no corrections)   -27.883 eV per cell